1.
# HoAs3Rh3 (PBE, optimized geometry)
data_HoAs3Rh3
_chemical_formula_sum 'Ho2 As6 Rh6'
_cell_length_a 6.681
_cell_length_b 6.681
_cell_length_c 6.681
_cell_angle_alpha 90.00
_cell_angle_beta 90.00
_cell_angle_gamma 90.00
_symmetry_space_group_name_H-M 'P m -3 n'
_symmetry_Int_Tables_number 223
_symmetry_space_group_name_Hall '-P 4n 2 3'
loop_
_atom_site_label
_atom_site_type_symbol
_atom_site_fract_x
_atom_site_fract_y
_atom_site_fract_z
Ho1 Ho 0.000 0.000 0.000
As1 As 0.000 0.250 0.500
Rh1 Rh 0.000 0.500 0.250
# DFT formation energy   -283 meV per atom
# Fermi-level density of states   11.84 states/eV/cell
# Volume   298 Å³ per cell
# Total moment   0.000 μB per formula unit
# Final energy   -6.080 eV/atom

***

2.
# Sc2TaCd (PBE, optimized geometry)
data_Sc2TaCd
_chemical_formula_sum 'Sc2 Ta1 Cd1'
_cell_length_a 3.243
_cell_length_b 4.954
_cell_length_c 5.213
_cell_angle_alpha 90.00
_cell_angle_beta 90.00
_cell_angle_gamma 90.00
_symmetry_space_group_name_H-M 'P m m m'
_symmetry_Int_Tables_number 47
loop_
_symmetry_equiv_pos_as_xyz
'x,y,z'
'-x,-y,-z'
'-x,-y,z'
'x,y,-z'
'x,-y,-z'
'-x,y,z'
'-x,y,-z'
'x,-y,z'
loop_
_atom_site_label
_atom_site_type_symbol
_atom_site_fract_x
_atom_site_fract_y
_atom_site_fract_z
Sc1 Sc 0.000 0.000 0.000
Sc2 Sc 0.500 0.000 0.500
Ta1 Ta 0.000 0.500 0.500
Cd1 Cd 0.500 0.500 0.000
# DFT formation energy   229 meV per atom
# Fermi-level density of states   5.88 states/eV/cell
# Volume   84 Å³ per cell
# Total moment   0.008 μB per formula unit
# Final energy   -6.129 eV/atom

***

3.
# Cs2MgNiBr6 (PBE, optimized geometry)
data_Cs2MgNiBr6
_chemical_formula_sum 'Cs12 Mg6 Ni6 Br36'
_cell_length_a 7.6671
_cell_length_b 7.6671
_cell_length_c 37.6815
_cell_angle_alpha 90.00
_cell_angle_beta 90.00
_cell_angle_gamma 120.00
_symmetry_space_group_name_H-M 'R -3 m'
_symmetry_Int_Tables_number 166
_symmetry_space_group_name_Hall '-R 3 2"'
loop_
_atom_site_label
_atom_site_type_symbol
_atom_site_fract_x
_atom_site_fract_y
_atom_site_fract_z
Cs1 Cs 0.0000 0.0000 0.1245
Cs2 Cs 0.0000 0.0000 0.2922
Mg1 Mg 0.0000 0.0000 0.4138
Ni1 Ni 0.0000 0.0000 0.0000
Ni2 Ni 0.0000 0.0000 0.5000
Br1 Br 0.0111 0.5055 0.7067
Br2 Br 0.0232 0.5116 0.1255
# E above lowest polymorph   0 meV/atom
# E_form (uncorrected)   -1.250 eV per atom
# Volume   1918 Å³ per cell
# Total moment   1.921 μB per formula unit
# Final energy   -3.162 eV/atom

***

Q: Number 1 is which compound?
A: HoAs3Rh3

***

Q: What is the formula in the second record?
A: Sc2TaCd

***

Q: The lowest final energy belongs to which entry?
A: Sc2TaCd

***

Q: total moment of number 2 (Sc2TaCd)?
A: 0.008 μB per formula unit